[1]
NiAsP3 | PBE-GGA | optimized geometry

a b c (Å): 4.410 4.410 4.410
angles (deg): 90.00 90.00 90.00
Sites, in units of the cell vectors:
Ni: 0.000 0.000 0.000
As: 0.500 0.500 0.500
P: 0.000 0.000 0.500
P: 0.000 0.500 0.000
P: 0.500 0.000 0.000

Computed properties:
relative energy among the computed polymorphs = 0.0000 eV per atom
formation energy = 0.675 eV per atom
raw total energy = -23.29 eV for the cell shown
space group = Pm-3m

***

[2]
K2CdIn | PBE-GGA | optimized geometry

a b c (Å): 6.551 6.551 3.765
angles (deg): 90.07 90.07 110.49
Sites, in units of the cell vectors:
K: 0.000 0.500 0.000
K: 0.500 0.000 0.000
Cd: 0.000 0.000 0.500
In: 0.500 0.500 0.500

Computed properties:
formation energy = 0.048 eV per atom
raw total energy = -5.66 eV for the cell shown
space group = C2/m

***

[3]
CaPmErTl | PBE-GGA | optimized geometry

a b c (Å): 5.584 5.584 5.584
angles (deg): 60.00 60.00 60.00
Sites, in units of the cell vectors:
Ca: 0.000 0.000 0.000
Pm: 0.250 0.250 0.250
Er: 0.500 0.500 0.500
Tl: 0.750 0.750 0.750

Computed properties:
formation energy = 0.040 eV per atom
raw total energy = -13.52 eV for the cell shown
space group = F-43m

***

[4]
Na2H6PdAu | PBE-GGA | optimized geometry

a b c (Å): 5.203 5.203 5.204
angles (deg): 119.85 119.85 90.17
Sites, in units of the cell vectors:
Na: 0.249 0.751 0.000
Na: 0.751 0.249 0.000
H: 0.239 0.761 0.500
H: 0.241 0.241 0.976
H: 0.242 0.242 0.502
H: 0.758 0.758 0.498
H: 0.759 0.759 0.024
H: 0.761 0.239 0.500
Pd: 0.000 0.000 0.500
Au: 0.500 0.500 0.500

Computed properties:
raw total energy = -33.02 eV for the cell shown
space group = C2/m